(w)
BaZr2Ir | meta-GGA SCAN | PBEsol geometry

- Total moment: 0.00 μB per formula unit
- Crystal system: tetragonal
- Theoretical density: 8.671 g cm⁻³

a b c (Å): 3.3787 3.3787 8.5893
angles (deg): 90.00 90.00 90.00
With the nearest neighbours (Å) after each atom.
Space group P4/mmm (No. 123)
Unique sites:
Ba (0.0000, 0.0000, 0.0000) (multiplicity 1)  4 Ba 3.38, 8 Zr 3.71
Zr (0.5000, 0.5000, 0.3302) (multiplicity 2)  4 Ir 2.80, 1 Zr 2.92
Ir (0.0000, 0.0000, 0.5000) (multiplicity 1)  8 Zr 2.80

(x)
BaZr2Ir | meta-GGA SCAN | PBEsol geometry

- Total moment: 0.00 μB per formula unit
- Crystal system: trigonal
- Theoretical density: 7.536 g cm⁻³

a b c (Å): 4.2472 4.2472 21.6662
angles (deg): 90.00 90.00 120.00
With the nearest neighbours (Å) after each atom.
Space group R-3m (No. 166, hexagonal axes)
Unique sites:
Ba (0.0000, 0.0000, 0.0000) (multiplicity 3)  6 Zr 3.59
Zr (0.0000, 0.0000, 0.2126) (multiplicity 6)  3 Ir 2.65
Ir (0.0000, 0.0000, 0.5000) (multiplicity 3)  6 Zr 2.65

The computed energies, referenced to the most stable structure and given in kJ/mol of atoms, are (w) 13.3; (x) 0.0.

(w)
KBa5 | meta-GGA SCAN | PBEsol geometry

- Total moment: 0.56 μB per formula unit
- Crystal system: orthorhombic
- Theoretical density: 3.331 g cm⁻³

a b c (Å): 7.2273 4.3694 22.9165
angles (deg): 90.00 90.00 90.00
With the nearest neighbours (Å) after each atom.
Space group Amm2 (No. 38)
Unique sites:
K (0.0000, 0.0000, 0.0000) (multiplicity 2)  2 K 4.37, 10 Ba 4.41-4.45
Ba (0.0000, 0.0000, 0.3328) (multiplicity 2)  10 Ba 4.36-4.40, 2 K 4.41
Ba (0.0000, 0.0000, 0.6683) (multiplicity 2)  10 Ba 4.36-4.42, 2 K 4.43
Ba (0.5000, 0.0000, 0.2240) (multiplicity 2)  12 Ba 4.31-4.41
Ba (0.5000, 0.0000, 0.5571) (multiplicity 2)  8 Ba 4.37-4.48, 4 K 4.42
Ba (0.5000, 0.0000, 0.8864) (multiplicity 2)  10 Ba 4.31-4.48, 2 K 4.45

(x)
KBa5 | meta-GGA SCAN | PBEsol geometry

- Total moment: 0.88 μB per formula unit
- Crystal system: hexagonal
- Theoretical density: 3.310 g cm⁻³

a b c (Å): 7.6315 7.6315 7.2189
angles (deg): 90.00 90.00 120.00
With the nearest neighbours (Å) after each atom.
Space group P-62m (No. 189)
Unique sites:
K (0.0000, 0.0000, 0.0000) (multiplicity 1)  12 Ba 4.41-4.44
Ba (0.0000, 0.3386, 0.5000) (multiplicity 3)  10 Ba 4.37-4.48, 2 K 4.44
Ba (0.3333, 0.6667, 0.0000) (multiplicity 2)  9 Ba 4.40-4.41, 3 K 4.41

The computed energies, referenced to the most stable structure and given in kJ/mol of atoms, are (w) 1.9; (x) 0.0.

(w)
K2BaLa | meta-GGA SCAN | PBEsol geometry

- Total moment: 0.36 μB per formula unit
- Crystal system: orthorhombic
- Theoretical density: 2.885 g cm⁻³

a b c (Å): 4.0729 6.7876 7.3806
angles (deg): 90.00 90.00 90.00
With the nearest neighbours (Å) after each atom.
Space group Pmmm (No. 47)
Unique sites:
K (0.0000, 0.0000, 0.0000) (multiplicity 1)  6 K 3.96-4.07, 4 La 4.21
K (0.5000, 0.5000, 0.0000) (multiplicity 1)  6 K 3.96-4.07, 4 Ba 4.21
Ba (0.0000, 0.5000, 0.5000) (multiplicity 1)  4 La 3.96, 2 Ba 4.07, 4 K 4.21
La (0.5000, 0.0000, 0.5000) (multiplicity 1)  4 Ba 3.96, 2 La 4.07, 4 K 4.21

(x)
K2BaLa | meta-GGA SCAN | PBEsol geometry

- Total moment: 1.72 μB per formula unit
- Crystal system: orthorhombic
- Theoretical density: 2.800 g cm⁻³

a b c (Å): 3.9641 3.9774 13.3298
angles (deg): 90.00 90.00 90.00
With the nearest neighbours (Å) after each atom.
Space group Pmm2 (No. 25)
Unique sites:
K (0.0000, 0.0000, 0.0000) (multiplicity 1)  4 K 3.96-3.98, 4 La 4.27
K (0.5000, 0.5000, 0.2837) (multiplicity 1)  4 K 3.96-3.98
Ba (0.0000, 0.0000, 0.5520) (multiplicity 1)  4 La 3.94, 4 Ba 3.96-3.98
La (0.5000, 0.5000, 0.7591) (multiplicity 1)  4 Ba 3.94, 4 La 3.96-3.98, 4 K 4.27

The computed energies, referenced to the most stable structure and given in kJ/mol of atoms, are (w) 12.7; (x) 0.0.

(w)
K2BaNa2 | meta-GGA SCAN | PBEsol geometry

- Total moment: 0.05 μB per formula unit
- Crystal system: tetragonal
- Theoretical density: 1.592 g cm⁻³

a b c (Å): 5.6014 5.6014 17.3878
angles (deg): 90.00 90.00 90.00
With the nearest neighbours (Å) after each atom.
Space group I4/mmm (No. 139)
Unique sites:
K (0.0000, 0.5000, 0.2500) (multiplicity 4)  4 Na 3.92, 4 K 3.96
Ba (0.0000, 0.0000, 0.0000) (multiplicity 2)  8 Na 4.27
Na (0.0000, 0.0000, 0.4081) (multiplicity 4)  1 Na 3.20

(x)
K2BaNa2 | meta-GGA SCAN | PBEsol geometry

- Total moment: 0.55 μB per formula unit
- Crystal system: tetragonal
- Theoretical density: 1.642 g cm⁻³

a b c (Å): 11.1293 11.1293 4.2693
angles (deg): 90.00 90.00 90.00
With the nearest neighbours (Å) after each atom.
Space group P4/mbm (No. 127)
Unique sites:
K (0.1279, 0.3721, 0.0000) (multiplicity 4)  6 Na 3.76-4.03, 1 K 4.03
Ba (0.0000, 0.0000, 0.0000) (multiplicity 2)  2 Ba 4.27, 4 K 4.38, 8 Na 4.63
Na (0.1754, 0.6754, 0.5000) (multiplicity 4)  6 K 3.76-4.03

The computed energies, referenced to the most stable structure and given in kJ/mol of atoms, are (w) 1.7; (x) 0.0.

(w)
KBaPS2 | meta-GGA SCAN | PBEsol geometry

- Total moment: 0.00 μB per formula unit
- Crystal system: tetragonal
- Theoretical density: 3.105 g cm⁻³

a b c (Å): 5.3499 5.3499 5.0734
angles (deg): 90.00 90.00 90.00
With the nearest neighbours (Å) after each atom.
Space group P4/mmm (No. 123)
Unique sites:
K (0.0000, 0.0000, 0.0000) (multiplicity 1)  2 P 2.54, 4 S 2.67
Ba (0.5000, 0.5000, 0.5000) (multiplicity 1)  8 S 3.69, 4 P 3.78
P (0.0000, 0.0000, 0.5000) (multiplicity 1)  2 K 2.54
S (0.0000, 0.5000, 0.0000) (multiplicity 2)  2 K 2.67

(x)
KBaPS2 | meta-GGA SCAN | PBEsol geometry

- Total moment: 0.85 μB per formula unit
- Crystal system: tetragonal
- Theoretical density: 2.780 g cm⁻³

a b c (Å): 5.2852 5.2852 5.8059
angles (deg): 90.00 90.00 90.00
With the nearest neighbours (Å) after each atom.
Space group P4/mmm (No. 123)
Unique sites:
K (0.0000, 0.0000, 0.0000) (multiplicity 1)  4 S 2.64, 2 Ba 2.90
Ba (0.0000, 0.0000, 0.5000) (multiplicity 1)  2 K 2.90
P (0.5000, 0.5000, 0.5000) (multiplicity 1)  4 Ba 3.74, 8 S 3.93
S (0.0000, 0.5000, 0.0000) (multiplicity 2)  2 K 2.64

The computed energies, referenced to the most stable structure and given in kJ/mol of atoms, are (w) 0.0; (x) 38.7.

(w)
KBa2Pt | meta-GGA SCAN | PBEsol geometry

- Total moment: 0.00 μB per formula unit
- Crystal system: cubic
- Theoretical density: 6.373 g cm⁻³

a b c (Å): 8.0945 8.0945 8.0945
angles (deg): 90.00 90.00 90.00
With the nearest neighbours (Å) after each atom.
Space group Fm-3m (No. 225)
Unique sites:
K (0.0000, 0.0000, 0.0000) (multiplicity 4)  8 Ba 3.51
Ba (0.2500, 0.2500, 0.2500) (multiplicity 8)  4 K 3.51, 4 Pt 3.51
Pt (0.0000, 0.0000, 0.5000) (multiplicity 4)  8 Ba 3.51

(x)
KBa2Pt | meta-GGA SCAN | PBEsol geometry

- Total moment: 0.00 μB per formula unit
- Crystal system: monoclinic
- Theoretical density: 4.246 g cm⁻³

a b c (Å): 7.8713 4.5351 11.4439
angles (deg): 90.00 103.03 90.00
With the nearest neighbours (Å) after each atom.
Space group C2/m (No. 12)
Unique sites:
K (0.0000, 0.0000, 0.0000) (multiplicity 2)  6 K 4.54, 6 Ba 4.71-4.72
Ba (0.2155, 0.0000, 0.6481) (multiplicity 4)  3 Pt 3.10
Pt (0.0000, 0.5000, 0.5000) (multiplicity 2)  6 Ba 3.10

The computed energies, referenced to the most stable structure and given in kJ/mol of atoms, are (w) 38.5; (x) 0.0.